(1)
The following is a SCAN calculation of Al2AsP at its PBEsol-relaxed geometry, from Alexandria via LeMat-Bulk.

a b c (Å): 3.586 4.390 8.713
angles (deg): 90.00 90.00 90.00
Space group Cmm2 (No. 35)
One atom of each set of equivalent atoms:
Al1 0.000 0.000 0.000 (multiplicity 2)
Al2 0.000 0.500 0.242 (multiplicity 2)
As1 0.000 0.000 0.466 (multiplicity 2)
P1 0.000 0.500 0.802 (multiplicity 2)

Output
- Mass density: 3.870 g/cm3

---

(2)
The following is a SCAN calculation of KTcIr3 at its PBEsol-relaxed geometry, from Alexandria via LeMat-Bulk.

a b c (Å): 4.723 4.723 4.723
angles (deg): 90.00 90.00 90.00
Space group Pm-3m (No. 221)
One atom of each set of equivalent atoms:
K1 0.000 0.000 0.000 (multiplicity 1)
Tc1 0.500 0.500 0.500 (multiplicity 1)
Ir1 0.000 0.500 0.500 (multiplicity 3)

Output
- Mass density: 11.250 g/cm3

---

(3)
The following is a SCAN calculation of CaZnBAu2 at its PBEsol-relaxed geometry, from Alexandria via LeMat-Bulk.

a b c (Å): 4.900 4.900 3.968
angles (deg): 90.00 90.00 90.00
Space group P4/mmm (No. 123)
One atom of each set of equivalent atoms:
Ca1 0.000 0.000 0.000 (multiplicity 1)
Zn1 0.500 0.500 0.500 (multiplicity 1)
B1 0.500 0.500 0.000 (multiplicity 1)
Au1 0.000 0.500 0.500 (multiplicity 2)

Output
- Mass density: 8.894 g/cm3

---

It is found that the raw total energy values, taken in the order of the records, are -90.81; -249.87; -168.11 eV/cell.
It is found that the D(E_F) values, taken in the order of the records, are 2.319; 4.664; 1.454 states/eV per cell.
It is found that the E_form values, taken in the order of the records, are 0.172; 1.363; 0.163 eV/atom.